Entry 1:
# Cs5Bi2F12

Cs5Bi2F12 after structural relaxation (PBE-GGA, Alexandria via LeMat-Bulk).

Cell: 14.6876 8.4015 7.2345 Å, 90.00 95.02 90.00°
Space group C2 (No. 5)
Asymmetric unit:
Cs  0.0000  0.0000  0.0000 [2 per cell]
Cs  0.1383  0.5205  0.0156 [4 per cell]
Cs  0.2414  0.0629  0.4890 [4 per cell]
Bi  0.0000  0.2851  0.5000 [2 per cell]
Bi  0.0000  0.7780  0.5000 [2 per cell]
F  0.0344  0.5309  0.3468 [4 per cell]
F  0.0608  0.0515  0.6301 [4 per cell]
F  0.0915  0.2378  0.2704 [4 per cell]
F  0.1110  0.8223  0.2959 [4 per cell]
F  0.1221  0.7473  0.7199 [4 per cell]
F  0.1306  0.3434  0.6714 [4 per cell]

Formation energy from raw total energies, eV per atom: -2.525

---

Entry 2:
# CsBiF3

CsBiF3 after structural relaxation (PBE-GGA, Alexandria via LeMat-Bulk).

Cell: 7.2822 4.0636 14.6533 Å, 90.00 90.00 90.00°
Space group Pnma (No. 62)
Asymmetric unit:
Cs  0.2479  0.2500  0.0154 [4 per cell]
Bi  0.0089  0.2500  0.2515 [4 per cell]
F  0.0174  0.7500  0.1397 [4 per cell]
F  0.0595  0.2500  0.6787 [4 per cell]
F  0.1187  0.2500  0.3939 [4 per cell]

E above lowest polymorph, meV per atom: 0
Formation energy from raw total energies, eV per atom: -2.248

---

Entry 3:
# Cs12Bi3F5

Cs12Bi3F5 after structural relaxation (PBE-GGA, Alexandria via LeMat-Bulk).

Cell: 19.8099 19.8099 19.8099 Å, 90.00 90.00 90.00°
Space group Ia-3d (No. 230)
Asymmetric unit:
Cs  0.0339  0.0497  0.6478 [96 per cell]
Bi  0.0000  0.2500  0.1250 [24 per cell]
F  0.0000  0.0000  0.0000 [16 per cell]
F  0.0000  0.2500  0.3750 [24 per cell]

Formation energy from raw total energies, eV per atom: -1.428

---

Entry 4:
# Cs2BiF5

Cs2BiF5 after structural relaxation (PBE-GGA, Alexandria via LeMat-Bulk).

Cell: 8.7538 6.6252 13.3690 Å, 90.00 90.00 90.00°
Space group Pnma (No. 62)
Asymmetric unit:
Cs  0.0082  0.2500  0.2358 [4 per cell]
Cs  0.1539  0.2500  0.5824 [4 per cell]
Bi  0.1727  0.2500  0.9391 [4 per cell]
F  0.0000  0.0000  0.0000 [4 per cell]
F  0.0487  0.2500  0.7928 [4 per cell]
F  0.1669  0.5095  0.3914 [8 per cell]
F  0.2166  0.7500  0.5961 [4 per cell]

E above lowest polymorph, meV per atom: 0
Formation energy from raw total energies, eV per atom: -2.657